CaY3Ir (GGA-PBE, relaxed); D(E_F) = 1.04 states/eV/atom; formation energy = -1.85 eV per formula unit; energy above the lowest structure with this stoichiometry = 3.2 kJ/mol of atoms
1.0
8.7606 0.0000 0.0000
0.0000 3.8452 0.0000
-2.1625 0.0000 8.8352
Ca Y Ir
2 6 2
Direct
0.0000 0.0000 0.0000
0.4045 0.0000 0.5017
0.0182 0.5000 0.3549
0.2069 0.5000 0.7553
0.3557 0.5000 0.1512
0.6175 0.5000 0.8405
0.6866 0.0000 0.1935
0.8280 0.0000 0.5857
0.4164 0.0000 0.9322
0.6333 0.5000 0.4050

***

Mg2ZrTlHg (GGA-PBE, relaxed); D(E_F) = 0.77 states/eV/atom; formation energy = 4.10 eV per formula unit; energy above the lowest structure with this stoichiometry = 44.8 kJ/mol of atoms
1.0
5.1423 0.0000 0.0000
0.0000 5.1423 0.0000
0.0000 0.0000 5.5069
Mg Zr Tl Hg
2 1 1 1
Direct
0.0000 0.5000 0.0000
0.5000 0.0000 0.0000
0.0000 0.0000 0.5000
0.5000 0.5000 0.0000
0.5000 0.5000 0.5000

***

LaPr4Dy (GGA-PBE, relaxed); D(E_F) = 1.75 states/eV/atom; formation energy = 1.44 eV per formula unit; energy above the lowest structure with this stoichiometry = 7.0 kJ/mol of atoms
1.0
0.0000 4.7868 4.7868
4.7868 0.0000 4.7868
4.7868 4.7868 0.0000
La Pr Dy
1 4 1
Direct
0.0000 0.0000 0.0000
0.3759 0.3759 0.3759
0.3759 0.3759 0.8722
0.3759 0.8722 0.3759
0.8722 0.3759 0.3759
0.7500 0.7500 0.7500

***

Tl2TcBr (GGA-PBE, relaxed); D(E_F) = 0.75 states/eV/atom; energy above the lowest structure with this stoichiometry = 43.4 kJ/mol of atoms
1.0
0.0000 3.7335 3.7335
3.7335 0.0000 3.7335
3.7335 3.7335 0.0000
Tl Tc Br
2 1 1
Direct
0.0000 0.0000 0.0000
0.2500 0.2500 0.2500
0.7500 0.7500 0.7500
0.5000 0.5000 0.5000

***

RbPSe4 (GGA-PBE, relaxed); D(E_F) = 0.29 states/eV/atom; energy above the lowest structure with this stoichiometry = 5.3 kJ/mol of atoms
1.0
7.5616 -3.4839 0.0000
7.5616 3.4839 0.0000
-2.0697 0.0000 7.0352
Rb P Se
2 2 8
Direct
0.2323 0.2323 0.1911
0.7677 0.7677 0.8089
0.4348 0.4348 0.7747
0.5652 0.5652 0.2253
0.1389 0.7107 0.5060
0.2628 0.7372 0.0000
0.2820 0.2820 0.7272
0.2893 0.8611 0.4940
0.7107 0.1389 0.5060
0.7180 0.7180 0.2728
0.7372 0.2628 0.0000
0.8611 0.2893 0.4940

***

ZrSiSe4 (GGA-PBE, relaxed); raw total energy = -5.33 eV/atom
1.0
6.0800 0.0000 0.0000
0.0000 6.0800 0.0000
0.0000 0.0000 9.9493
Zr Si Se
2 2 8
Direct
0.0000 0.0000 0.0000
0.0000 0.0000 0.5000
0.0000 0.5000 0.2500
0.5000 0.0000 0.7500
0.2373 0.2863 0.3750
0.2373 0.7137 0.1250
0.2863 0.2373 0.8750
0.2863 0.7627 0.6250
0.7137 0.2373 0.6250
0.7137 0.7627 0.8750
0.7627 0.2863 0.1250
0.7627 0.7137 0.3750

***

BeSiPt2 (GGA-PBE, relaxed); D(E_F) = 0.16 states/eV/atom; raw total energy = -5.71 eV/atom
1.0
1.4225 0.8213 7.6885
-1.4225 0.8213 7.6885
0.0000 -1.6425 7.6885
Be Si Pt
1 1 2
Direct
0.0000 0.0000 0.0000
0.5000 0.5000 0.5000
0.2539 0.2539 0.2539
0.7461 0.7461 0.7461

***

TiMn2CoH (GGA-PBE, relaxed); D(E_F) = 0.90 states/eV/atom; raw total energy = -7.44 eV/atom
1.0
3.5998 0.0000 0.0000
0.0000 3.5998 0.0000
0.0000 0.0000 3.9680
Ti Mn Co H
1 2 1 1
Direct
0.0000 0.0000 0.0000
0.0000 0.5000 0.5000
0.5000 0.0000 0.5000
0.5000 0.5000 0.0000
0.0000 0.0000 0.5000

***

CuAsPS2 (GGA-PBE, relaxed); D(E_F) = 0.78 states/eV/atom; energy above the lowest structure with this stoichiometry = 0.0 kJ/mol of atoms
1.0
4.5217 0.0000 0.0000
0.0000 4.5217 0.0000
0.0000 0.0000 4.4538
Cu As P S
1 1 1 2
Direct
0.0000 0.0000 0.0000
0.5000 0.5000 0.5000
0.0000 0.0000 0.5000
0.0000 0.5000 0.0000
0.5000 0.0000 0.0000

***

NaZnGa (GGA-PBE, relaxed); D(E_F) = 0.31 states/eV/atom; formation energy = -0.16 eV per formula unit; energy above the lowest structure with this stoichiometry = 2.6 kJ/mol of atoms
1.0
4.5979 0.0000 0.0000
-2.2990 3.9819 0.0000
0.0000 0.0000 3.2718
Na Zn Ga
1 1 1
Direct
0.0000 0.0000 0.0000
0.3333 0.6667 0.5000
0.6667 0.3333 0.5000

***

Tm3PtRh2 (GGA-PBE, relaxed); D(E_F) = 0.54 states/eV/atom; formation energy = -6.41 eV per formula unit
1.0
4.8079 0.0000 0.0000
-2.4040 4.1638 0.0000
0.0000 0.0000 11.7850
Tm Pt Rh
6 2 4
Direct
0.0000 0.0000 0.2478
0.0000 0.0000 0.7522
0.3333 0.6667 0.4162
0.3333 0.6667 0.9183
0.6667 0.3333 0.0817
0.6667 0.3333 0.5838
0.3333 0.6667 0.6667
0.6667 0.3333 0.3333
0.0000 0.0000 0.0000
0.0000 0.0000 0.5000
0.3333 0.6667 0.1644
0.6667 0.3333 0.8356

***

UMn2S4 (GGA-PBE, relaxed); D(E_F) = 1.29 states/eV/atom; energy above the lowest structure with this stoichiometry = 0.0 kJ/mol of atoms
1.0
1.8431 -5.9655 0.0000
1.8431 5.9655 0.0000
0.0000 0.0000 12.0316
U Mn S
2 4 8
Direct
0.1180 0.8820 0.7500
0.8820 0.1180 0.2500
0.3699 0.6301 0.5647
0.3699 0.6301 0.9353
0.6301 0.3699 0.0647
0.6301 0.3699 0.4353
0.0000 0.0000 0.0000
0.0000 0.0000 0.5000
0.2741 0.7259 0.1172
0.2741 0.7259 0.3828
0.4520 0.5480 0.7500
0.5480 0.4520 0.2500
0.7259 0.2741 0.6172
0.7259 0.2741 0.8828